Record 1
A relaxed YSc2Ge2 crystal, computed with PBE.

Values from the calculation:
Size of the total moment = 0.29 Bohr magnetons per cell
Energy above the most stable polymorph in this dataset = 9 meV/atom
Total DFT energy (no corrections) = -6.36 eV per atom
Space-group type = I4/mmm, No. 139

Structure (POSCAR):
```
YSc2Ge2
1.0
-2.146 2.146 6.019
2.146 -2.146 6.019
2.146 2.146 -6.019
Y Sc Ge
1 2 2
Direct
0.000 0.000 0.000 Y
0.250 0.750 0.500 Sc
0.750 0.250 0.500 Sc
0.396 0.396 0.000 Ge
0.604 0.604 0.000 Ge
```

=====

Record 2
A relaxed YScGe crystal, computed with PBE.

Values from the calculation:
Size of the total moment = 0.00 Bohr magnetons per cell
Energy above the most stable polymorph in this dataset = 224 meV/atom
Total DFT energy (no corrections) = -6.31 eV per atom
Space-group type = C2/m, No. 12

Structure (POSCAR):
```
YScGe
1.0
5.691 -1.642 0.000
5.691 1.642 0.000
-2.645 0.000 7.388
Y Sc Ge
2 2 2
Direct
0.154 0.154 0.116 Y
0.846 0.846 0.884 Y
0.134 0.134 0.526 Sc
0.866 0.866 0.474 Sc
0.446 0.446 0.227 Ge
0.554 0.554 0.773 Ge
```

=====

Record 3
A relaxed YSc2Ge2 crystal, computed with PBE.

Values from the calculation:
Size of the total moment = 0.70 Bohr magnetons per cell
Energy above the most stable polymorph in this dataset = 181 meV/atom
Total DFT energy (no corrections) = -6.19 eV per atom
Space-group type = P4/mbm, No. 127

Structure (POSCAR):
```
YSc2Ge2
1.0
8.201 0.000 0.000
0.000 8.201 0.000
0.000 0.000 3.109
Y Sc Ge
2 4 4
Direct
0.000 0.000 0.000 Y
0.500 0.500 0.000 Y
0.125 0.375 0.000 Sc
0.375 0.875 0.000 Sc
0.625 0.125 0.000 Sc
0.875 0.625 0.000 Sc
0.174 0.674 0.500 Ge
0.326 0.174 0.500 Ge
0.674 0.826 0.500 Ge
0.826 0.326 0.500 Ge
```